# Np2CoAgO8 PBE+U relaxed
data_Np2CoAgO8
_chemical_formula_sum 'Np2 Co1 Ag1 O8'
_cell_length_a 5.5402
_cell_length_b 5.5402
_cell_length_c 6.0339
_cell_angle_alpha 90.00
_cell_angle_beta 90.00
_cell_angle_gamma 120.00
_space_group_name_H-M_alt 'P -3'
_space_group_IT_number 147
loop_
_space_group_symop_operation_xyz
'x,y,z'
'-x,-y,-z'
'-y,x-y,z'
'y,-x+y,-z'
'-x+y,-x,z'
'x-y,x,-z'
loop_
_atom_site_label
_atom_site_type_symbol
_atom_site_fract_x
_atom_site_fract_y
_atom_site_fract_z
Np1 Np 0.3333 0.6667 0.1070
Co1 Co 0.0000 0.0000 0.0000
Ag1 Ag 0.0000 0.0000 0.5000
O1 O 0.0699 0.7287 0.8501
O2 O 0.3333 0.6667 0.4114
# mass density = 8.0 g/cm³
# uncorrected energy = -94.03 eV per cell